Entry 1:
# Y2BeIn

An optimized crystal structure of Y2BeIn (GGA-PBE, Alexandria via LeMat-Bulk).

a = 8.9752 Å, b = 3.6445 Å, c = 6.5189 Å
α = 90.00°, β = 103.22°, γ = 90.00°
With the nearest neighbours (Å) after each atom.
Space group C2/m (No. 12)
Symmetry-distinct sites (fractional):
Y  0.2394  0.0000  0.2201 (multiplicity 4)  3 Be 2.93-3.01, 3 In 3.12-3.19
Be  0.0000  0.5000  0.0000 (multiplicity 2)  6 Y 2.93-3.01
In  0.0000  0.0000  0.5000 (multiplicity 2)  6 Y 3.12-3.19

## Properties
DFT total energy: -4.80 eV/atom
Polymorph energy (0 for the lowest one): 0.268 eV per atom
Calculated formation energy: 0.048 eV/atom


Entry 2:
# AlV2Mo2Ru5

An optimized crystal structure of AlV2Mo2Ru5 (GGA-PBE, Alexandria via LeMat-Bulk).

a = 9.9664 Å, b = 9.9664 Å, c = 2.9528 Å
α = 90.00°, β = 90.00°, γ = 90.00°
With the nearest neighbours (Å) after each atom.
Space group P4/mbm (No. 127)
Symmetry-distinct sites (fractional):
Al  0.0000  0.0000  0.0000 (multiplicity 2)  8 Ru 2.54
V  0.1405  0.3595  0.0000 (multiplicity 4)  6 Ru 2.40-2.47, 1 Mo 2.50
Mo  0.1822  0.6822  0.0000 (multiplicity 4)  1 V 2.50
Ru  0.0000  0.5000  0.5000 (multiplicity 2)  4 V 2.47
Ru  0.0291  0.2053  0.5000 (multiplicity 8)  2 V 2.40, 2 Al 2.54

## Properties
DFT total energy: -8.97 eV/atom
Calculated formation energy: 0.035 eV/atom


Entry 3:
# Ac2Pm5Pr2

An optimized crystal structure of Ac2Pm5Pr2 (GGA-PBE, Alexandria via LeMat-Bulk).

a = 15.4269 Å, b = 9.9196 Å, c = 8.8247 Å
α = 90.00°, β = 90.00°, γ = 90.00°
With the nearest neighbours (Å) after each atom.
Space group Ima2 (No. 46)
Symmetry-distinct sites (fractional):
Ac  0.1254  0.0353  0.0000 (multiplicity 8)  5 Pm 3.52-3.82, 2 Pr 3.59-3.68, 2 Ac 3.84-3.93
Pm  0.0299  0.1725  0.3388 (multiplicity 8)  2 Pr 3.34-3.64, 2 Pm 3.44-3.54, 2 Ac 3.55-3.60
Pm  0.1499  0.7094  0.1507 (multiplicity 8)  2 Pm 3.09-3.44, 1 Pr 3.11
Pm  0.2500  0.1692  0.6720 (multiplicity 4)  1 Pr 3.34, 2 Ac 3.72
Pr  0.0000  0.0000  0.6593 (multiplicity 4)  4 Pm 3.11-3.34
Pr  0.2500  0.5114  0.8524 (multiplicity 4)  5 Pm 3.34-3.64, 2 Ac 3.68

## Properties
DFT total energy: -4.39 eV/atom
Polymorph energy (0 for the lowest one): 0.185 eV per atom
Calculated formation energy: 0.228 eV/atom